Run w
Density functional theory data (PBE-GGA) for Ba2SrZr after structural relaxation.

Cell and atoms, written as CIF:
```
data_Ba2SrZr
_chemical_formula_sum 'Ba2 Sr1 Zr1'
_symmetry_space_group_name_H-M 'P 1'
_symmetry_Int_Tables_number 1
_symmetry_space_group_name_Hall 'P 1'
_cell_length_a 6.311
_cell_length_b 6.311
_cell_length_c 6.311
_cell_angle_alpha 60.00
_cell_angle_beta 60.00
_cell_angle_gamma 60.00
loop_
_atom_site_label
_atom_site_type_symbol
_atom_site_fract_x
_atom_site_fract_y
_atom_site_fract_z
Sr1 Sr 0.000 0.000 0.000
Ba1 Ba 0.250 0.250 0.250
Ba2 Ba 0.750 0.750 0.750
Zr1 Zr 0.500 0.500 0.500
```

Properties
Calculated density ... 4.24 Mg/m³
Magnetic moment ... 0.5309 μB per atom

=====

Run x
Density functional theory data (PBE-GGA) for Ba2SrZr after structural relaxation.

Cell and atoms, written as CIF:
```
data_Ba2SrZr
_chemical_formula_sum 'Ba2 Sr1 Zr1'
_symmetry_space_group_name_H-M 'P 1'
_symmetry_Int_Tables_number 1
_symmetry_space_group_name_Hall 'P 1'
_cell_length_a 13.234
_cell_length_b 13.234
_cell_length_c 13.234
_cell_angle_alpha 17.06
_cell_angle_beta 17.06
_cell_angle_gamma 17.06
loop_
_atom_site_label
_atom_site_type_symbol
_atom_site_fract_x
_atom_site_fract_y
_atom_site_fract_z
Ba1 Ba 0.012 0.012 0.012
Ba2 Ba 0.249 0.249 0.249
Sr1 Sr 0.488 0.488 0.488
Zr1 Zr 0.751 0.751 0.751
```

Properties
Calculated density ... 4.33 Mg/m³
Magnetic moment ... 0.0000 μB per atom

=====

Run y
Density functional theory data (PBE-GGA) for Ba2SrZr after structural relaxation.

Cell and atoms, written as CIF:
```
data_Ba2SrZr
_chemical_formula_sum 'Ba2 Sr1 Zr1'
_symmetry_space_group_name_H-M 'P 1'
_symmetry_Int_Tables_number 1
_symmetry_space_group_name_Hall 'P 1'
_cell_length_a 6.824
_cell_length_b 6.824
_cell_length_c 6.890
_cell_angle_alpha 77.65
_cell_angle_beta 77.65
_cell_angle_gamma 33.43
loop_
_atom_site_label
_atom_site_type_symbol
_atom_site_fract_x
_atom_site_fract_y
_atom_site_fract_z
Ba1 Ba 0.977 0.977 0.027
Ba2 Ba 0.523 0.523 0.473
Sr1 Sr 0.750 0.750 0.750
Zr1 Zr 0.250 0.250 0.250
```

Properties
Calculated density ... 4.37 Mg/m³
Magnetic moment ... 0.0218 μB per atom

=====

Run z
Density functional theory data (PBE-GGA) for Ba2SrZr after structural relaxation.

Cell and atoms, written as CIF:
```
data_Ba2SrZr
_chemical_formula_sum 'Ba4 Sr2 Zr2'
_symmetry_space_group_name_H-M 'P 1'
_symmetry_Int_Tables_number 1
_symmetry_space_group_name_Hall 'P 1'
_cell_length_a 9.917
_cell_length_b 9.917
_cell_length_c 7.934
_cell_angle_alpha 51.32
_cell_angle_beta 51.32
_cell_angle_gamma 90.00
loop_
_atom_site_label
_atom_site_type_symbol
_atom_site_fract_x
_atom_site_fract_y
_atom_site_fract_z
Sr1 Sr 0.500 0.500 0.000
Sr2 Sr 0.250 0.750 0.500
Ba1 Ba 0.654 0.125 0.250
Ba2 Ba 0.096 0.625 0.250
Ba3 Ba 0.375 0.346 0.750
Ba4 Ba 0.875 0.904 0.750
Zr1 Zr 0.000 0.000 0.000
Zr2 Zr 0.750 0.250 0.500
```

Properties
Calculated density ... 4.13 Mg/m³
Magnetic moment ... 0.5087 μB per atom

=====

The data favor run x; the next most stable structure lies 5.0 kJ/mol of atoms above it.